18
Lattice="5.4323 0.0000 0.0000 -2.7162 4.7045 0.0000 0.0000 0.0000 10.3777" Properties=species:S:1:pos:R:3 comment="UBiPtO6 | the Alexandria database | GGA-PBE | optimized geometry" total_energy_ev_per_atom=-7.412 space_group="P-31c (163)" dos_at_fermi_per_ev_fu=6.078 pbc="T T T"
U 0.0000 3.1364 2.5944
U 2.7162 1.5682 7.7833
Bi 0.0000 0.0000 0.0000
Bi 0.0000 0.0000 5.1888
Pt 0.0000 3.1364 7.7833
Pt 2.7162 1.5682 2.5944
O -0.9048 1.6864 6.6196
O -1.7080 3.0778 8.9469
O 0.9048 1.6864 8.9469
O -0.8033 4.6449 6.6196
O 1.9129 0.0597 1.4308
O 1.0081 1.6268 3.7581
O 1.7080 3.0778 6.6196
O 0.8033 4.6449 8.9469
O 3.5195 0.0597 3.7581
O 1.8114 3.0181 1.4308
O 4.4242 1.6268 1.4308
O 3.6209 3.0181 3.7581